Record 1
The following is a PBE-GGA calculation of crystalline LiPrTlCu at its relaxed geometry, from Alexandria.

Lattice parameters (Å, degrees): 6.914 6.914 6.914 90.00 90.00 90.00
Space group F-43m (No. 216)
One atom of each set of equivalent atoms:
Li1 0.000 0.000 0.000 x4
Pr1 0.250 0.250 0.250 x4
Tl1 0.250 0.250 0.750 x4
Cu1 0.000 0.000 0.500 x4

=====

Record 2
The following is a PBE-GGA calculation of crystalline LiPr2Zn3Cu12 at its relaxed geometry, from Alexandria.

Lattice parameters (Å, degrees): 6.2812 6.2812 26.3603 90.00 90.00 120.00
Space group R-3m (No. 166, hexagonal axes)
One atom of each set of equivalent atoms:
Li1 0.0000 0.0000 0.0000 x3
Pr1 0.0000 0.0000 0.3471 x6
Zn1 0.0000 0.5000 0.5000 x9
Cu1 0.0569 0.5284 0.5950 x18
Cu2 0.0754 0.5377 0.1170 x18

=====

| no. | energy relative to the elements (eV per atom) |
| --- | --- |
| 1 | -0.250 |
| 2 | 0.140 |